This record from Alexandria via LeMat-Bulk describes crystalline NaGa2Fe at its relaxed geometry. The functional is PBE.

For the energy relative to the elements, the calculation gives 0.02 eV per atom.

Unit cell a=2.940 b=2.940 c=7.631 alpha=90.00 beta=90.00 gamma=90.00
Fractional coordinates of all 4 atoms:
Na (0.000, 0.000, 0.000)
Ga (0.500, 0.500, 0.313)
Ga (0.500, 0.500, 0.687)
Fe (0.000, 0.000, 0.500)

***

This record from Alexandria via LeMat-Bulk describes crystalline Ti2CuPb at its relaxed geometry. The functional is PBE.

For the energy relative to the elements, the calculation gives 0.29 eV per atom.

Unit cell a=5.902 b=5.902 c=5.902 alpha=103.02 beta=103.02 gamma=123.33
Fractional coordinates of all 8 atoms:
Ti (0.092, 0.625, 0.967)
Ti (0.375, 0.342, 0.467)
Ti (0.658, 0.125, 0.033)
Ti (0.875, 0.908, 0.533)
Cu (0.000, 0.000, 0.000)
Cu (0.750, 0.250, 0.500)
Pb (0.250, 0.750, 0.500)
Pb (0.500, 0.500, 0.000)